(1)
DFT (PBE) results for a relaxed Ac2CoCl crystal.

E_form (uncorrected) (eV/atom): -0.831
Energy above the lowest structure with this stoichiometry (eV/atom): 0.023

The structure in POSCAR format:
```
Ac2CoCl
1.0
4.1727 0.0000 0.0000
2.0863 3.6136 0.0000
2.0863 1.2045 8.1023
Ac Co Cl
2 1 1
direct
0.0661 0.0661 0.8016 Ac
0.2685 0.2685 0.1946 Ac
0.6680 0.6680 0.9961 Co
0.4974 0.4974 0.5077 Cl
```

=====

(2)
DFT (PBE) results for a relaxed ScGa3Ag crystal.

Energy above the lowest structure with this stoichiometry (eV/atom): 0.544
ΔE_f (meV/atom): 325

The structure in POSCAR format:
```
ScGa3Ag
1.0
-2.8579 -3.8906 0.7763
3.8851 -2.5509 1.5184
-0.8032 1.5044 4.5824
Sc Ga Ag
1 3 1
direct
0.5000 0.5000 0.5000 Sc
0.0000 0.5000 0.0000 Ga
0.0000 0.0000 0.5000 Ga
0.5000 0.0000 0.0000 Ga
0.0000 0.0000 0.0000 Ag
```

=====

(3)
DFT (PBE) results for a relaxed Tm8MgTe2 crystal.

E_form (uncorrected) (eV/atom): -0.201

The structure in POSCAR format:
```
Tm8MgTe2
1.0
7.3841 0.5239 0.4355
1.2452 7.4417 1.9766
1.2452 3.3038 6.9549
Tm Mg Te
8 1 2
direct
0.7094 0.1762 0.6663 Tm
0.2906 0.3337 0.8238 Tm
0.9361 0.2223 0.2223 Tm
0.0639 0.7777 0.7777 Tm
0.7094 0.6663 0.1762 Tm
0.2906 0.8238 0.3337 Tm
0.2672 0.3444 0.3444 Tm
0.7328 0.6556 0.6556 Tm
0.0000 0.0000 0.0000 Mg
0.5979 0.1398 0.1398 Te
0.4021 0.8602 0.8602 Te
```